Record 1
# CsFe2Se2

A PBEsol-optimized structure of CsFe2Se2 (meta-GGA SCAN, Alexandria via LeMat-Bulk).

Output
* total DFT energy (no corrections): -0.8531 hartree per atom

a = 3.7934 Å, b = 3.7934 Å, c = 7.6354 Å
α = 104.38°, β = 104.38°, γ = 90.00°
Closest atoms and distances in Å follow each position.
Atoms (fractional coordinates):
Cs1 0.0000 0.0000 0.0000  8 Se 3.53, 4 Cs 3.79
Fe1 0.2500 0.7500 0.5000  4 Se 2.29
Fe2 0.7500 0.2500 0.5000  4 Se 2.29
Se1 0.3393 0.3393 0.6786  4 Fe 2.29
Se2 0.6607 0.6607 0.3214  4 Fe 2.29

Record 2
# Cd2TcHg

A PBEsol-optimized structure of Cd2TcHg (meta-GGA SCAN, Alexandria via LeMat-Bulk).

Output
* formation energy: 0.411 eV/atom
* total DFT energy (no corrections): -1.4921 hartree per atom

a = 2.8638 Å, b = 4.2745 Å, c = 5.9332 Å
α = 90.00°, β = 90.19°, γ = 90.00°
Closest atoms and distances in Å follow each position.
Atoms (fractional coordinates):
Cd1 0.0017 0.0000 0.7322  3 Cd 2.76-2.86, 4 Tc 2.92, 4 Hg 3.02-3.03
Cd2 0.9983 0.0000 0.2678  3 Cd 2.76-2.86, 4 Tc 2.92, 4 Hg 3.02-3.03
Hg1 0.5000 0.5000 0.0000  2 Hg 2.86, 2 Tc 2.97, 8 Cd 3.02-3.03
Tc1 0.5000 0.5000 0.5000  2 Tc 2.86, 8 Cd 2.92, 2 Hg 2.97

Record 3
# CdHg2Pb

A PBEsol-optimized structure of CdHg2Pb (meta-GGA SCAN, Alexandria via LeMat-Bulk).

Output
* formation energy: 0.049 eV/atom
* total DFT energy (no corrections): -2.2264 hartree per atom

a = 3.2716 Å, b = 5.2805 Å, c = 5.7264 Å
α = 90.00°, β = 92.71°, γ = 90.00°
Closest atoms and distances in Å follow each position.
Atoms (fractional coordinates):
Pb1 0.5000 0.5000 0.0000  4 Cd 3.23-3.36, 2 Pb 3.27, 8 Hg 3.33-3.52
Hg1 0.9182 0.0000 0.7490  2 Hg 2.90-2.93, 2 Cd 3.02
Hg2 0.0818 0.0000 0.2510  2 Hg 2.90-2.93, 2 Cd 3.02
Cd1 0.0000 0.5000 0.5000  4 Hg 3.02, 4 Pb 3.23-3.36, 2 Cd 3.27

Record 4
# YIn2Cl

A PBEsol-optimized structure of YIn2Cl (meta-GGA SCAN, Alexandria via LeMat-Bulk).

Output
* ΔE to the lowest computed polymorph: 171 meV per atom
* total DFT energy (no corrections): -0.9676 hartree per atom

a = 3.5937 Å, b = 5.2303 Å, c = 5.4761 Å
α = 90.00°, β = 90.35°, γ = 90.00°
Closest atoms and distances in Å follow each position.
Atoms (fractional coordinates):
Y1 0.5000 0.5000 0.0000  2 Cl 2.74
Cl1 0.5000 0.5000 0.5000  2 Y 2.74
In1 0.9925 0.0000 0.7540  2 In 2.69-2.78
In2 0.0075 0.0000 0.2460  2 In 2.69-2.78

Record 5
# SrRe3

A PBEsol-optimized structure of SrRe3 (meta-GGA SCAN, Alexandria via LeMat-Bulk).

Output
* formation energy: 0.729 eV/atom
* ΔE to the lowest computed polymorph: 0 meV per atom
* total DFT energy (no corrections): -2.1375 hartree per atom

a = 2.7981 Å, b = 3.7610 Å, c = 7.3436 Å
α = 90.00°, β = 90.00°, γ = 90.00°
Closest atoms and distances in Å follow each position.
Atoms (fractional coordinates):
Re1 0.5000 0.5000 0.6722  7 Re 2.53-2.80
Re2 0.0000 0.0000 0.5000  10 Re 2.66-2.80
Re3 0.5000 0.5000 0.3278  7 Re 2.53-2.80
Sr1 0.0000 0.0000 0.0000  2 Sr 2.80

Record 6
# CrCuTc2

A PBEsol-optimized structure of CrCuTc2 (meta-GGA SCAN, Alexandria via LeMat-Bulk).

Output
* formation energy: 0.171 eV/atom
* ΔE to the lowest computed polymorph: 0 meV per atom
* total DFT energy (no corrections): -0.9465 hartree per atom

a = 2.5439 Å, b = 2.5439 Å, c = 8.3249 Å
α = 90.00°, β = 90.00°, γ = 107.47°
Closest atoms and distances in Å follow each position.
Atoms (fractional coordinates):
Cr1 0.5000 0.5000 0.5000  4 Tc 2.51, 4 Cr 2.54
Cu1 0.5000 0.5000 0.0000  4 Cu 2.54, 4 Tc 2.62
Tc1 0.0000 0.0000 0.2580  2 Cr 2.51, 4 Tc 2.54, 2 Cu 2.62
Tc2 0.0000 0.0000 0.7420  2 Cr 2.51, 4 Tc 2.54, 2 Cu 2.62

Calculated mass density in order - 6.50, 11.97, 12.11, 5.71, 13.89, 10.07 g cm⁻³